Material: CaCd2Pd2
Method: DFT, PBE
State: relaxed

```
CaCd2Pd2
1.0
7.9942 0.0000 0.0000
0.0000 7.9942 0.0000
0.0000 0.0000 3.1662
Ca Cd Pd
2 4 4
direct
0.0000 0.0000 0.0000
0.5000 0.5000 0.0000
0.1255 0.3745 0.0000
0.3745 0.8745 0.0000
0.6255 0.1255 0.0000
0.8745 0.6255 0.0000
0.1734 0.6734 0.5000
0.3266 0.1734 0.5000
0.6734 0.8266 0.5000
0.8266 0.3266 0.5000
```

Summary:
Its total magnetization is 0.000 μB per atom. The offset from the most stable computed form is 0.70 kcal/mol of atoms. The formation energy comes out at -2.21 eV/f.u.